Material: Ho7Hg2Sb2
Method: DFT, PBE-GGA
State: optimized geometry

Structure (POSCAR):
```
Ho7Hg2Sb2
1.0
6.995 -0.003 -0.466
0.003 7.177 0.003
-0.901 -0.003 6.952
Sb Ho Hg
2 7 2
Direct
0.797 0.500 0.797
0.203 0.500 0.203
0.500 0.251 0.500
0.000 0.267 0.500
0.500 0.733 0.000
0.500 0.267 0.000
0.000 0.733 0.500
0.000 0.000 0.000
0.500 0.749 0.500
0.720 0.000 0.280
0.280 0.000 0.720
```

Calculated values
**Formation energy from raw total energies**: -242 meV per atom
**Crystal system**: orthorhombic
**Theoretical density**: 8.63 g/cm³